[1]
# La4HgPt | Alexandria | GGA-PBEsol | optimized geometry
data_La4HgPt
_chemical_formula_sum 'La4 Hg1 Pt1'
_symmetry_space_group_name_H-M 'P 1'
_symmetry_Int_Tables_number 1
_cell_length_a 6.1424
_cell_length_b 6.1424
_cell_length_c 6.1424
_cell_angle_alpha 60.00
_cell_angle_beta 60.00
_cell_angle_gamma 60.00
loop_
_symmetry_equiv_pos_as_xyz
'x,y,z'
loop_
_atom_site_label
_atom_site_type_symbol
_atom_site_fract_x
_atom_site_fract_y
_atom_site_fract_z
Hg1 Hg 0.0000 0.0000 0.0000
La1 La 0.3758 0.3758 0.3758
La2 La 0.3758 0.3758 0.8726
La3 La 0.8726 0.3758 0.3758
La4 La 0.3758 0.8726 0.3758
Pt1 Pt 0.7500 0.7500 0.7500
# Formation energy: 24.2 kJ per mole of atoms


[2]
# La2HgPt2 | Alexandria | GGA-PBEsol | optimized geometry
data_La2HgPt2
_chemical_formula_sum 'La2 Hg1 Pt2'
_symmetry_space_group_name_H-M 'P 1'
_symmetry_Int_Tables_number 1
_cell_length_a 3.9251
_cell_length_b 3.9251
_cell_length_c 8.6372
_cell_angle_alpha 103.13
_cell_angle_beta 103.13
_cell_angle_gamma 90.00
loop_
_symmetry_equiv_pos_as_xyz
'x,y,z'
loop_
_atom_site_label
_atom_site_type_symbol
_atom_site_fract_x
_atom_site_fract_y
_atom_site_fract_z
Hg1 Hg 0.0000 0.0000 0.0000
Pt1 Pt 0.2500 0.7500 0.5000
Pt2 Pt 0.7500 0.2500 0.5000
La1 La 0.3819 0.3819 0.7639
La2 La 0.6181 0.6181 0.2361
# Formation energy: -67.6 kJ per mole of atoms


[3]
# La2HgPt | Alexandria | GGA-PBEsol | optimized geometry
data_La2HgPt
_chemical_formula_sum 'La2 Hg1 Pt1'
_symmetry_space_group_name_H-M 'P 1'
_symmetry_Int_Tables_number 1
_cell_length_a 3.9966
_cell_length_b 4.6472
_cell_length_c 6.0525
_cell_angle_alpha 90.00
_cell_angle_beta 108.87
_cell_angle_gamma 90.00
loop_
_symmetry_equiv_pos_as_xyz
'x,y,z'
loop_
_atom_site_label
_atom_site_type_symbol
_atom_site_fract_x
_atom_site_fract_y
_atom_site_fract_z
Hg1 Hg 0.4570 0.5000 0.7905
Pt1 Pt 0.2838 0.0000 0.4423
La1 La 0.0170 0.0000 0.9120
La2 La 0.7422 0.5000 0.3553
# Formation energy: -73.6 kJ per mole of atoms


[4]
# La2HgPt | Alexandria | GGA-PBEsol | optimized geometry
data_La2HgPt
_chemical_formula_sum 'La2 Hg1 Pt1'
_symmetry_space_group_name_H-M 'P 1'
_symmetry_Int_Tables_number 1
_cell_length_a 3.7481
_cell_length_b 5.2225
_cell_length_c 5.2225
_cell_angle_alpha 90.00
_cell_angle_beta 90.00
_cell_angle_gamma 90.00
loop_
_symmetry_equiv_pos_as_xyz
'x,y,z'
loop_
_atom_site_label
_atom_site_type_symbol
_atom_site_fract_x
_atom_site_fract_y
_atom_site_fract_z
Hg1 Hg 0.5000 0.0000 0.0000
La1 La 0.0000 0.0000 0.5000
La2 La 0.0000 0.5000 0.0000
Pt1 Pt 0.5000 0.5000 0.5000
# Formation energy: -69.3 kJ per mole of atoms


[5]
# La3HgPt | Alexandria | GGA-PBEsol | optimized geometry
data_La3HgPt
_chemical_formula_sum 'La3 Hg1 Pt1'
_symmetry_space_group_name_H-M 'P 1'
_symmetry_Int_Tables_number 1
_cell_length_a 5.5856
_cell_length_b 5.5856
_cell_length_c 5.5856
_cell_angle_alpha 90.00
_cell_angle_beta 90.00
_cell_angle_gamma 90.00
loop_
_symmetry_equiv_pos_as_xyz
'x,y,z'
loop_
_atom_site_label
_atom_site_type_symbol
_atom_site_fract_x
_atom_site_fract_y
_atom_site_fract_z
Hg1 Hg 0.5000 0.5000 0.5000
Pt1 Pt 0.0000 0.0000 0.0000
La1 La 0.0000 0.5000 0.0000
La2 La 0.0000 0.0000 0.5000
La3 La 0.5000 0.0000 0.0000
# Formation energy: -31.8 kJ per mole of atoms
# Distance to the lowest polymorph of the same formula: 0.000 eV/atom


[6]
# RbLa2ReHg | Alexandria | GGA-PBEsol | optimized geometry
data_RbLa2ReHg
_chemical_formula_sum 'Rb1 La2 Re1 Hg1'
_symmetry_space_group_name_H-M 'P 1'
_symmetry_Int_Tables_number 1
_cell_length_a 5.2363
_cell_length_b 5.5054
_cell_length_c 5.5054
_cell_angle_alpha 90.00
_cell_angle_beta 90.00
_cell_angle_gamma 90.00
loop_
_symmetry_equiv_pos_as_xyz
'x,y,z'
loop_
_atom_site_label
_atom_site_type_symbol
_atom_site_fract_x
_atom_site_fract_y
_atom_site_fract_z
Re1 Re 0.5000 0.5000 0.5000
Hg1 Hg 0.5000 0.0000 0.0000
Rb1 Rb 0.0000 0.0000 0.0000
La1 La 0.0000 0.0000 0.5000
La2 La 0.0000 0.5000 0.0000
# Formation energy: 198.5 kJ per mole of atoms


[7]
# RbSrLaHg2 | Alexandria | GGA-PBEsol | optimized geometry
data_RbSrLaHg2
_chemical_formula_sum 'Rb1 Sr1 La1 Hg2'
_symmetry_space_group_name_H-M 'P 1'
_symmetry_Int_Tables_number 1
_cell_length_a 5.6573
_cell_length_b 5.8044
_cell_length_c 5.8044
_cell_angle_alpha 90.00
_cell_angle_beta 90.00
_cell_angle_gamma 90.00
loop_
_symmetry_equiv_pos_as_xyz
'x,y,z'
loop_
_atom_site_label
_atom_site_type_symbol
_atom_site_fract_x
_atom_site_fract_y
_atom_site_fract_z
Sr1 Sr 0.5000 0.5000 0.5000
Hg1 Hg 0.0000 0.0000 0.5000
Hg2 Hg 0.0000 0.5000 0.0000
Rb1 Rb 0.0000 0.0000 0.0000
La1 La 0.5000 0.0000 0.0000
# Formation energy: 56.3 kJ per mole of atoms


[8]
# LaReHg3 | Alexandria | GGA-PBEsol | optimized geometry
data_LaReHg3
_chemical_formula_sum 'La1 Re1 Hg3'
_symmetry_space_group_name_H-M 'P 1'
_symmetry_Int_Tables_number 1
_cell_length_a 5.1189
_cell_length_b 5.1189
_cell_length_c 5.1189
_cell_angle_alpha 90.00
_cell_angle_beta 90.00
_cell_angle_gamma 90.00
loop_
_symmetry_equiv_pos_as_xyz
'x,y,z'
loop_
_atom_site_label
_atom_site_type_symbol
_atom_site_fract_x
_atom_site_fract_y
_atom_site_fract_z
Re1 Re 0.0000 0.0000 0.0000
Hg1 Hg 0.0000 0.5000 0.0000
Hg2 Hg 0.0000 0.0000 0.5000
Hg3 Hg 0.5000 0.0000 0.0000
La1 La 0.5000 0.5000 0.5000
# Formation energy: 39.3 kJ per mole of atoms


[9]
# LaRe3Hg | Alexandria | GGA-PBEsol | optimized geometry
data_LaRe3Hg
_chemical_formula_sum 'La1 Re3 Hg1'
_symmetry_space_group_name_H-M 'P 1'
_symmetry_Int_Tables_number 1
_cell_length_a 4.8003
_cell_length_b 4.8003
_cell_length_c 4.8003
_cell_angle_alpha 90.00
_cell_angle_beta 90.00
_cell_angle_gamma 90.00
loop_
_symmetry_equiv_pos_as_xyz
'x,y,z'
loop_
_atom_site_label
_atom_site_type_symbol
_atom_site_fract_x
_atom_site_fract_y
_atom_site_fract_z
Re1 Re 0.0000 0.5000 0.0000
Re2 Re 0.0000 0.0000 0.5000
Re3 Re 0.5000 0.0000 0.0000
Hg1 Hg 0.5000 0.5000 0.5000
La1 La 0.0000 0.0000 0.0000
# Formation energy: 297.4 kJ per mole of atoms


[10]
# La2ReHg | Alexandria | GGA-PBEsol | optimized geometry
data_La2ReHg
_chemical_formula_sum 'La2 Re1 Hg1'
_symmetry_space_group_name_H-M 'P 1'
_symmetry_Int_Tables_number 1
_cell_length_a 5.0084
_cell_length_b 5.0084
_cell_length_c 5.0084
_cell_angle_alpha 60.00
_cell_angle_beta 60.00
_cell_angle_gamma 60.00
loop_
_symmetry_equiv_pos_as_xyz
'x,y,z'
loop_
_atom_site_label
_atom_site_type_symbol
_atom_site_fract_x
_atom_site_fract_y
_atom_site_fract_z
Hg1 Hg 0.5000 0.5000 0.5000
La1 La 0.0000 0.0000 0.0000
La2 La 0.7500 0.7500 0.7500
Re1 Re 0.2500 0.2500 0.2500
# Formation energy: 25.5 kJ per mole of atoms
# Distance to the lowest polymorph of the same formula: 0.000 eV/atom


[11]
# La2ReHg | Alexandria | GGA-PBEsol | optimized geometry
data_La2ReHg
_chemical_formula_sum 'La2 Re1 Hg1'
_symmetry_space_group_name_H-M 'P 1'
_symmetry_Int_Tables_number 1
_cell_length_a 3.6505
_cell_length_b 3.6505
_cell_length_c 6.8366
_cell_angle_alpha 90.00
_cell_angle_beta 90.00
_cell_angle_gamma 90.00
loop_
_symmetry_equiv_pos_as_xyz
'x,y,z'
loop_
_atom_site_label
_atom_site_type_symbol
_atom_site_fract_x
_atom_site_fract_y
_atom_site_fract_z
Hg1 Hg 0.5000 0.5000 0.7209
La1 La 0.0000 0.0000 0.9828
La2 La 0.5000 0.5000 0.2780
Re1 Re 0.0000 0.0000 0.5182
# Formation energy: 30.9 kJ per mole of atoms
# Distance to the lowest polymorph of the same formula: 0.057 eV/atom


[12]
# LaHgRh2 | Alexandria | GGA-PBEsol | optimized geometry
data_LaHgRh2
_chemical_formula_sum 'La1 Hg1 Rh2'
_symmetry_space_group_name_H-M 'P 1'
_symmetry_Int_Tables_number 1
_cell_length_a 3.7526
_cell_length_b 4.4331
_cell_length_c 4.4331
_cell_angle_alpha 90.00
_cell_angle_beta 90.00
_cell_angle_gamma 90.00
loop_
_symmetry_equiv_pos_as_xyz
'x,y,z'
loop_
_atom_site_label
_atom_site_type_symbol
_atom_site_fract_x
_atom_site_fract_y
_atom_site_fract_z
Rh1 Rh 0.0000 0.0000 0.5000
Rh2 Rh 0.0000 0.5000 0.0000
Hg1 Hg 0.5000 0.5000 0.5000
La1 La 0.5000 0.0000 0.0000
# Formation energy: -44.2 kJ per mole of atoms